1.
# Ba3Ca2Bi4 PBE-GGA relaxed
# - ΔE to the lowest computed polymorph: 51.0 meV per atom
# - Uncorrected energy: -3.61 eV/atom
# - ΔE_f: -7.230 eV per formula unit
# - Symmetry: C2/m, No. 12
# - Fermi-level density of states: 0.502 states/eV per atom
data_Ba3Ca2Bi4
_chemical_formula_sum 'Ba3 Ca2 Bi4'
_cell_length_a 5.028
_cell_length_b 8.017
_cell_length_c 10.867
_cell_angle_alpha 116.25
_cell_angle_beta 90.00
_cell_angle_gamma 108.28
_space_group_name_H-M_alt 'P 1'
_space_group_IT_number 1
loop_
_space_group_symop_operation_xyz
'x,y,z'
loop_
_atom_site_label
_atom_site_type_symbol
_atom_site_fract_x
_atom_site_fract_y
_atom_site_fract_z
Bi1 Bi 0.084 0.168 0.396
Ba1 Ba 0.385 0.771 0.305
Bi2 Bi 0.916 0.832 0.604
Ca1 Ca 0.689 0.378 0.348
Bi3 Bi 0.702 0.404 0.059
Ca2 Ca 0.311 0.622 0.652
Ba2 Ba 0.615 0.229 0.695
Ba3 Ba 0.000 0.000 0.000
Bi4 Bi 0.298 0.596 0.941

=====

2.
# CaAcLaY PBE-GGA relaxed
# - ΔE to the lowest computed polymorph: 81.2 meV per atom
# - Uncorrected energy: -4.23 eV/atom
# - ΔE_f: 0.567 eV per formula unit
# - Symmetry: F-43m, No. 216
# - Fermi-level density of states: 2.015 states/eV per atom
data_CaAcLaY
_chemical_formula_sum 'Ca1 Ac1 La1 Y1'
_cell_length_a 6.034
_cell_length_b 6.034
_cell_length_c 6.034
_cell_angle_alpha 60.00
_cell_angle_beta 60.00
_cell_angle_gamma 60.00
_space_group_name_H-M_alt 'P 1'
_space_group_IT_number 1
loop_
_space_group_symop_operation_xyz
'x,y,z'
loop_
_atom_site_label
_atom_site_type_symbol
_atom_site_fract_x
_atom_site_fract_y
_atom_site_fract_z
La1 La 0.250 0.250 0.250
Y1 Y 0.750 0.750 0.750
Ca1 Ca 0.000 0.000 0.000
Ac1 Ac 0.500 0.500 0.500

=====

Please write out number 1 again, unchanged.
# Ba3Ca2Bi4 PBE-GGA relaxed
# - ΔE to the lowest computed polymorph: 51.0 meV per atom
# - Uncorrected energy: -3.61 eV/atom
# - ΔE_f: -7.230 eV per formula unit
# - Symmetry: C2/m, No. 12
# - Fermi-level density of states: 0.502 states/eV per atom
data_Ba3Ca2Bi4
_chemical_formula_sum 'Ba3 Ca2 Bi4'
_cell_length_a 5.028
_cell_length_b 8.017
_cell_length_c 10.867
_cell_angle_alpha 116.25
_cell_angle_beta 90.00
_cell_angle_gamma 108.28
_space_group_name_H-M_alt 'P 1'
_space_group_IT_number 1
loop_
_space_group_symop_operation_xyz
'x,y,z'
loop_
_atom_site_label
_atom_site_type_symbol
_atom_site_fract_x
_atom_site_fract_y
_atom_site_fract_z
Bi1 Bi 0.084 0.168 0.396
Ba1 Ba 0.385 0.771 0.305
Bi2 Bi 0.916 0.832 0.604
Ca1 Ca 0.689 0.378 0.348
Bi3 Bi 0.702 0.404 0.059
Ca2 Ca 0.311 0.622 0.652
Ba2 Ba 0.615 0.229 0.695
Ba3 Ba 0.000 0.000 0.000
Bi4 Bi 0.298 0.596 0.941

=====

Q: The lowest ΔE_f belongs to which entry?
A: Ba3Ca2Bi4